Computed, not measured: a PBEsol-optimized structure of SrBe2Re at the SCAN level of DFT.

The structure belongs to space group Pmm2 (No. 25); the cell edges are 2.658, 3.132 and 7.341 Å and the angles 90.00°, 90.00° and 90.00°. The inequivalent atoms are Sr at (0.000, 0.000, 0.000), Be at (0.000, 0.000, 0.466), Be at (0.500, 0.500, 0.331) and Re at (0.500, 0.500, 0.654).

As for the total magnetization: 0.00 μB/atom. Its calculated total energy is -24.8963 eV/atom. As for the formation enthalpy at 0 K: 0.624 eV per atom.

Computed, not measured: a PBEsol-optimized structure of TaTl2Sb at the SCAN level of DFT.

The structure belongs to space group Immm (No. 71); the cell edges are 3.110, 4.598 and 14.459 Å and the angles 90.00°, 90.00° and 90.00°. The inequivalent atoms are Ta at (0.000, 0.000, 0.000), Tl at (0.000, 0.500, 0.313) and Sb at (0.000, 0.000, 0.500).

As for the total magnetization: 0.00 μB/atom. Its calculated total energy is -61.7868 eV/atom. Its uncorrected formation energy is 0.353 eV per atom.